Entry from Alexandria: crystalline Mn2V5OsRu2 at its relaxed geometry (GGA-PBE).

Cell and atoms, written as POSCAR:
```
Mn2V5OsRu2
1.0
9.5224 0.0000 0.0000
0.0000 9.5224 0.0000
0.0000 0.0000 2.9971
Mn V Os Ru
4 10 2 4
Cartesian
1.2277 3.5335 0.0000
3.5335 8.2947 0.0000
5.9889 1.2277 0.0000
8.2947 5.9889 0.0000
0.0000 4.7612 1.4986
0.6288 1.9153 1.4986
1.9153 8.8936 1.4986
2.8459 4.1324 1.4986
4.1324 6.6765 1.4986
4.7612 0.0000 1.4986
5.3900 2.8459 1.4986
6.6765 5.3900 1.4986
7.6071 0.6288 1.4986
8.8936 7.6071 1.4986
0.0000 0.0000 0.0000
4.7612 4.7612 0.0000
1.6045 6.3657 0.0000
3.1567 1.6045 0.0000
6.3657 7.9179 0.0000
7.9179 3.1567 0.0000
```

The calculated volume comes out at 272 Å³ per cell. Its energy of formation is 0.10 eV/atom. As for the space-group type: P4/mbm (127). Its size of the total moment is 0.000 μB per atom.


Entry from Alexandria: crystalline SmCuHgPt at its relaxed geometry (GGA-PBE).

Cell and atoms, written as POSCAR:
```
SmCuHgPt
1.0
0.0000 3.4248 3.4248
3.4248 0.0000 3.4248
3.4248 3.4248 0.0000
Sm Cu Hg Pt
1 1 1 1
Cartesian
0.0000 0.0000 0.0000
5.1372 5.1372 5.1372
3.4248 3.4248 3.4248
1.7124 1.7124 1.7124
```

The calculated volume comes out at 80 Å³ per cell. Its energy of formation is -0.44 eV/atom. As for the space-group type: F-43m (216). Its size of the total moment is 0.000 μB per atom.